NiC3F (PBE with a Hubbard U, relaxed); DOS at the Fermi energy = 2.4 states/eV/cell; calculated total energy = -2.928 eV/atom
1.0
-0.9878 -0.1487 3.5235
-1.5443 -3.2714 -0.5711
3.1705 -1.6398 0.8197
C F Ni
3 1 1
direct
0.5000 0.0000 0.0000
0.0000 0.5000 0.0000
0.0000 0.0000 0.5000
0.0000 0.0000 0.0000
0.5000 0.5000 0.5000